No. 1
The following is a PBEsol calculation of a geometry-optimized CaFeSe2 structure, from Alexandria. Values from VASP.

Computed properties:
The calculation puts the final energy at -5.54 eV/atom.

Quantum ESPRESSO input file:
```
&SYSTEM
  ibrav = 0, nat = 4, ntyp = 3
/
ATOMIC_SPECIES
Ca 40.08 Ca.upf
Fe 55.84 Fe.upf
Se 78.96 Se.upf
ATOMIC_POSITIONS crystal
Ca 0.0000 0.0000 0.0000
Fe 0.5000 0.7816 0.7816
Se 0.0000 0.6861 0.6861
Se 0.5000 0.4152 0.4152
CELL_PARAMETERS angstrom
4.1623 0.0000 0.0000
0.0000 1.8906 5.9070
0.0000 -1.8906 5.9070
```

No. 2
The following is a PBEsol calculation of a geometry-optimized CaFeSe2 structure, from Alexandria. Values from VASP.

Computed properties:
The calculation puts the final energy at -5.23 eV/atom.

Quantum ESPRESSO input file:
```
&SYSTEM
  ibrav = 0, nat = 4, ntyp = 3
/
ATOMIC_SPECIES
Ca 40.08 Ca.upf
Fe 55.84 Fe.upf
Se 78.96 Se.upf
ATOMIC_POSITIONS crystal
Ca 0.0000 0.0000 0.0000
Fe 0.5000 0.5000 0.0000
Se 0.0000 0.5000 0.5000
Se 0.5000 0.0000 0.5000
CELL_PARAMETERS angstrom
4.7344 0.0000 0.0000
0.0000 4.7344 0.0000
0.0000 0.0000 3.3901
```

No. 3
The following is a PBEsol calculation of a geometry-optimized Ca4FeSe structure, from Alexandria. Values from VASP.

Computed properties:
The calculation puts the final energy at -2.96 eV/atom.

Quantum ESPRESSO input file:
```
&SYSTEM
  ibrav = 0, nat = 6, ntyp = 3
/
ATOMIC_SPECIES
Ca 40.08 Ca.upf
Fe 55.84 Fe.upf
Se 78.96 Se.upf
ATOMIC_POSITIONS crystal
Ca 0.1254 0.1254 0.1254
Ca 0.1254 0.1254 0.6238
Ca 0.1254 0.6238 0.1254
Ca 0.6238 0.1254 0.1254
Fe 0.5000 0.5000 0.5000
Se 0.7500 0.7500 0.7500
CELL_PARAMETERS angstrom
0.0000 4.4834 4.4834
4.4834 0.0000 4.4834
4.4834 4.4834 0.0000
```

No. 4
The following is a PBEsol calculation of a geometry-optimized CaFe2Si structure, from Alexandria. Values from VASP.

Computed properties:
The calculation puts the final energy at -6.09 eV/atom.

Quantum ESPRESSO input file:
```
&SYSTEM
  ibrav = 0, nat = 4, ntyp = 3
/
ATOMIC_SPECIES
Ca 40.08 Ca.upf
Fe 55.84 Fe.upf
Si 28.09 Si.upf
ATOMIC_POSITIONS crystal
Ca 0.0000 0.0000 0.0000
Fe 0.0000 0.5000 0.5000
Fe 0.5000 0.0000 0.5000
Si 0.5000 0.5000 0.0000
CELL_PARAMETERS angstrom
4.1100 0.0000 0.0000
0.0000 4.1100 0.0000
0.0000 0.0000 3.1827
```

No. 5
The following is a PBEsol calculation of a geometry-optimized CaFe2Si structure, from Alexandria. Values from VASP.

Computed properties:
The calculation puts the final energy at -6.44 eV/atom.

Quantum ESPRESSO input file:
```
&SYSTEM
  ibrav = 0, nat = 4, ntyp = 3
/
ATOMIC_SPECIES
Ca 40.08 Ca.upf
Fe 55.84 Fe.upf
Si 28.09 Si.upf
ATOMIC_POSITIONS crystal
Ca 0.0000 0.0000 0.0000
Fe 0.0000 0.0000 0.4989
Fe 0.5000 0.5000 0.3217
Si 0.5000 0.5000 0.6787
CELL_PARAMETERS angstrom
2.9912 0.0000 0.0000
0.0000 2.9912 0.0000
0.0000 0.0000 6.7728
```

No. 6
The following is a PBEsol calculation of a geometry-optimized CaFeSi2 structure, from Alexandria. Values from VASP.

Computed properties:
The calculation puts the final energy at -5.83 eV/atom.

Quantum ESPRESSO input file:
```
&SYSTEM
  ibrav = 0, nat = 4, ntyp = 3
/
ATOMIC_SPECIES
Ca 40.08 Ca.upf
Fe 55.84 Fe.upf
Si 28.09 Si.upf
ATOMIC_POSITIONS crystal
Ca 0.0000 0.0000 0.0000
Fe 0.9937 0.5000 0.4093
Si 0.4953 0.0000 0.4304
Si 0.4968 0.5000 0.7004
CELL_PARAMETERS angstrom
2.8873 0.0000 0.0000
0.0000 3.6341 0.0000
-0.0293 0.0000 6.3180
```

No. 7
The following is a PBEsol calculation of a geometry-optimized Ca2FeSi structure, from Alexandria. Values from VASP.

Computed properties:
The calculation puts the final energy at -4.80 eV/atom.

Quantum ESPRESSO input file:
```
&SYSTEM
  ibrav = 0, nat = 4, ntyp = 3
/
ATOMIC_SPECIES
Ca 40.08 Ca.upf
Fe 55.84 Fe.upf
Si 28.09 Si.upf
ATOMIC_POSITIONS crystal
Ca 0.0000 0.0000 0.0000
Ca 0.5000 0.5000 0.3992
Fe 0.0000 0.0000 0.6560
Si 0.5000 0.5000 0.7485
CELL_PARAMETERS angstrom
3.2217 0.0000 0.0000
0.0000 3.2217 0.0000
0.0000 0.0000 8.2185
```

No. 8
The following is a PBEsol calculation of a geometry-optimized CaFeSi2 structure, from Alexandria. Values from VASP.

Computed properties:
The calculation puts the final energy at -5.82 eV/atom.

Quantum ESPRESSO input file:
```
&SYSTEM
  ibrav = 0, nat = 4, ntyp = 3
/
ATOMIC_SPECIES
Ca 40.08 Ca.upf
Fe 55.84 Fe.upf
Si 28.09 Si.upf
ATOMIC_POSITIONS crystal
Ca 0.0000 0.0000 0.0000
Fe 0.5000 0.5000 0.3306
Si 0.0000 0.0000 0.4569
Si 0.5000 0.5000 0.6792
CELL_PARAMETERS angstrom
3.0501 0.0000 0.0000
0.0000 3.0501 0.0000
0.0000 0.0000 6.6735
```

No. 9
The following is a PBEsol calculation of a geometry-optimized CaTlFe2Sn structure, from Alexandria. Values from VASP.

Computed properties:
Its energy of formation from the pure elements is 0.864 eV per atom.

Quantum ESPRESSO input file:
```
&SYSTEM
  ibrav = 0, nat = 5, ntyp = 4
/
ATOMIC_SPECIES
Ca 40.08 Ca.upf
Tl 204.38 Tl.upf
Fe 55.84 Fe.upf
Sn 118.71 Sn.upf
ATOMIC_POSITIONS crystal
Ca 0.0000 0.0000 0.0000
Tl 0.5000 0.5000 0.0000
Fe 0.0000 0.5000 0.5000
Fe 0.5000 0.0000 0.5000
Sn 0.0000 0.0000 0.5000
CELL_PARAMETERS angstrom
4.8376 0.0000 0.0000
0.0000 4.8376 0.0000
0.0000 0.0000 5.6397
```

No. 10
The following is a PBEsol calculation of a geometry-optimized SrCa3Fe structure, from Alexandria. Values from VASP.

Computed properties:
Its energy of formation from the pure elements is 1.657 eV per atom.

Quantum ESPRESSO input file:
```
&SYSTEM
  ibrav = 0, nat = 5, ntyp = 3
/
ATOMIC_SPECIES
Sr 87.62 Sr.upf
Ca 40.08 Ca.upf
Fe 55.84 Fe.upf
ATOMIC_POSITIONS crystal
Sr 0.0000 0.0000 0.0000
Ca 0.0000 0.0000 0.5000
Ca 0.0000 0.5000 0.0000
Ca 0.5000 0.0000 0.0000
Fe 0.5000 0.5000 0.5000
CELL_PARAMETERS angstrom
6.0597 0.0000 0.0000
0.0000 6.0597 0.0000
0.0000 0.0000 6.0597
```

No. 11
The following is a PBEsol calculation of a geometry-optimized CaTaFe2 structure, from Alexandria. Values from VASP.

Computed properties:
Its energy of formation from the pure elements is 0.503 eV per atom.

Quantum ESPRESSO input file:
```
&SYSTEM
  ibrav = 0, nat = 4, ntyp = 3
/
ATOMIC_SPECIES
Ca 40.08 Ca.upf
Ta 180.95 Ta.upf
Fe 55.84 Fe.upf
ATOMIC_POSITIONS crystal
Ca 0.0000 0.0000 0.0000
Ta 0.5000 0.5000 0.5000
Fe 0.2335 0.2335 0.6429
Fe 0.7665 0.7665 0.3571
CELL_PARAMETERS angstrom
4.1594 -1.5424 0.0000
4.1594 1.5424 0.0000
-1.1770 0.0000 5.8511
```

No. 12
The following is a PBEsol calculation of a geometry-optimized CaTa3Fe structure, from Alexandria. Values from VASP.

Computed properties:
Its energy of formation from the pure elements is 0.735 eV per atom.

Quantum ESPRESSO input file:
```
&SYSTEM
  ibrav = 0, nat = 5, ntyp = 3
/
ATOMIC_SPECIES
Ca 40.08 Ca.upf
Ta 180.95 Ta.upf
Fe 55.84 Fe.upf
ATOMIC_POSITIONS crystal
Ca 0.0000 0.0000 0.0000
Ta 0.0000 0.5000 0.5000
Ta 0.5000 0.0000 0.5000
Ta 0.5000 0.5000 0.0000
Fe 0.5000 0.5000 0.5000
CELL_PARAMETERS angstrom
4.6577 0.0000 0.0000
0.0000 4.6577 0.0000
0.0000 0.0000 4.6577
```